(1)
## Sr2Mg3AlAu4 (PBE)

Data for a relaxed Sr2Mg3AlAu4 crystal.

It has space group P-4m2 (No. 115), with a = 4.8111 Å, b = 4.8111 Å, c = 10.2602 Å, α = 90.00°, β = 90.00° and γ = 90.00°. The asymmetric unit holds Sr at (0.0000, 0.5000, 0.2411), Mg at (0.0000, 0.5000, 0.8766), Mg at (0.5000, 0.5000, 0.5000), Al at (0.0000, 0.0000, 0.5000), Au at (0.0000, 0.0000, 0.0000), Au at (0.0000, 0.5000, 0.6161) and Au at (0.5000, 0.5000, 0.0000).

Its formation enthalpy at 0 K is -0.61 eV/atom.

***

(2)
## KYMn2 (PBE)

Data for a relaxed KYMn2 crystal.

It has space group I4_1/amd (No. 141, origin choice 2), with a = 5.2130 Å, b = 5.2130 Å, c = 20.0045 Å, α = 90.00°, β = 90.00° and γ = 90.00°. The asymmetric unit holds K at (0.0000, 0.2500, 0.3750), Y at (0.0000, 0.2500, 0.8750) and Mn at (0.0000, 0.0000, 0.0000).

Its formation enthalpy at 0 K is 1.12 eV/atom.

***

(3)
## K4Er6F19 (PBE)

Data for a relaxed K4Er6F19 crystal.

It has space group I23 (No. 197), with a = 10.9930 Å, b = 10.9930 Å, c = 10.9930 Å, α = 90.00°, β = 90.00° and γ = 90.00°. The asymmetric unit holds K at (0.1326, 0.1326, 0.8674), Er at (0.0000, 0.3384, 0.5000), F at (0.0000, 0.0000, 0.0000), F at (0.0000, 0.0000, 0.3790) and F at (0.0026, 0.3607, 0.6981).

The raw formation energy is -3.519 eV per atom.

***

(4)
## La6CoHg2H (PBE)

Data for a relaxed La6CoHg2H crystal.

It has space group P-1 (No. 2), with a = 7.2195 Å, b = 7.2196 Å, c = 7.2498 Å, α = 63.72°, β = 63.10° and γ = 63.37°. The asymmetric unit holds La at (0.1656, 0.2407, 0.3272), La at (0.2584, 0.1745, 0.8214), La at (0.3326, 0.6659, 0.7503), Co at (0.5000, 0.0000, 0.5000), Hg at (0.2391, 0.7463, 0.2358) and H at (0.0000, 0.5000, 0.0000).

For the total DFT energy (no corrections), the calculation gives -43.5 eV/cell.

***

(5)
## CsPPd2 (PBE)

Data for a relaxed CsPPd2 crystal.

It has space group P2_1/c (No. 14), with a = 5.5338 Å, b = 9.4596 Å, c = 13.7162 Å, α = 90.00°, β = 113.79° and γ = 90.00°. The asymmetric unit holds Cs at (0.0827, 0.2489, 0.2504), P at (0.3445, 0.0000, 0.0945), Pd at (0.0089, 0.1506, 0.9913) and Pd at (0.4737, 0.6506, 0.4914).

Its formation enthalpy at 0 K is -0.20 eV/atom.

***

(6)
## NaAgPO2 (PBE)

Data for a relaxed NaAgPO2 crystal.

It has space group P4/mmm (No. 123), with a = 4.2424 Å, b = 4.2424 Å, c = 4.8089 Å, α = 90.00°, β = 90.00° and γ = 90.00°. The asymmetric unit holds Na at (0.0000, 0.0000, 0.0000), Ag at (0.5000, 0.5000, 0.5000), P at (0.5000, 0.5000, 0.0000) and O at (0.0000, 0.5000, 0.5000).

The raw formation energy is 0.416 eV per atom.

***

(7)
## SmTaAl (PBE)

Data for a relaxed SmTaAl crystal.

It has space group I4/mmm (No. 139), with a = 4.0539 Å, b = 4.0539 Å, c = 17.0136 Å, α = 90.00°, β = 90.00° and γ = 90.00°. The asymmetric unit holds Sm at (0.0000, 0.0000, 0.1738), Ta at (0.0000, 0.5000, 0.0000) and Al at (0.0000, 0.0000, 0.3852).

Its formation enthalpy at 0 K is -0.15 eV/atom.

***

(8)
## CrSiIr3 (PBE)

Data for a relaxed CrSiIr3 crystal.

It has space group Pm-3m (No. 221), with a = 4.4893 Å, b = 4.4893 Å, c = 4.4893 Å, α = 90.00°, β = 90.00° and γ = 90.00°. The asymmetric unit holds Cr at (0.0000, 0.0000, 0.0000), Si at (0.5000, 0.5000, 0.5000) and Ir at (0.0000, 0.0000, 0.5000).

The raw formation energy is 1.397 eV per atom.

***

Results for spin magnetization: 0.00 6.65 0.00 0.00 0.00 2.10 0.00 0.00 (in μB/f.u., following the order of the records).